[1]
The following is a DFT calculation (PBE-GGA) of an optimized crystal structure of La3Pr4Cd.

total magnetization	0.0	μB per cell
calculated formation energy	-0.073	eV/atom
raw total energy	-0.1626	hartree per atom
E above lowest polymorph	0.0000	eV per atom

Structure (CIF):
```
data_La3Pr4Cd
_cell_length_a 3.762
_cell_length_b 3.762
_cell_length_c 19.658
_cell_angle_alpha 90.00
_cell_angle_beta 90.00
_cell_angle_gamma 90.00
_symmetry_space_group_name_H-M 'P 4/m m m'
_symmetry_Int_Tables_number 123
_symmetry_space_group_name_Hall '-P 4 2'
loop_
_atom_site_label
_atom_site_type_symbol
_atom_site_fract_x
_atom_site_fract_y
_atom_site_fract_z
La1 La 0.000 0.000 0.000
La2 La 0.000 0.000 0.265
Pr1 Pr 0.500 0.500 0.132
Pr2 Pr 0.500 0.500 0.395
Cd1 Cd 0.000 0.000 0.500
```

[2]
The following is a DFT calculation (PBE-GGA) of an optimized crystal structure of OF.

total magnetization	12.0	μB per cell
energy relative to the elements, uncorrected	1.20	eV/atom
raw total energy	-0.0812	hartree per atom
E above lowest polymorph	1.3497	eV per atom

Structure (CIF):
```
data_OF
_cell_length_a 5.610
_cell_length_b 6.314
_cell_length_c 2.732
_cell_angle_alpha 90.00
_cell_angle_beta 90.00
_cell_angle_gamma 90.00
_symmetry_space_group_name_H-M 'C m m m'
_symmetry_Int_Tables_number 65
_symmetry_space_group_name_Hall '-C 2 2'
loop_
_atom_site_label
_atom_site_type_symbol
_atom_site_fract_x
_atom_site_fract_y
_atom_site_fract_z
O1 O 0.000 0.183 0.000
F1 F 0.234 0.000 0.500
```

[3]
The following is a DFT calculation (PBE-GGA) of an optimized crystal structure of SiCSe2Br.

total magnetization	1.1	μB per cell
energy relative to the elements, uncorrected	1.61	eV/atom
raw total energy	-0.1121	hartree per atom
E above lowest polymorph	0.4004	eV per atom

Structure (CIF):
```
data_SiCSe2Br
_cell_length_a 4.864
_cell_length_b 4.864
_cell_length_c 4.968
_cell_angle_alpha 90.00
_cell_angle_beta 90.00
_cell_angle_gamma 90.00
_symmetry_space_group_name_H-M 'P 4/m m m'
_symmetry_Int_Tables_number 123
_symmetry_space_group_name_Hall '-P 4 2'
loop_
_atom_site_label
_atom_site_type_symbol
_atom_site_fract_x
_atom_site_fract_y
_atom_site_fract_z
Si1 Si 0.000 0.000 0.000
C1 C 0.500 0.500 0.500
Se1 Se 0.000 0.500 0.000
Br1 Br 0.000 0.000 0.500
```

Among the records above, which one has the highest total magnetization? OF